(A)
Below is a geometry-optimized TiNb3P structure, with properties calculated at the PBE-GGA level.

abc: 4.6764 4.6764 4.6764
angles: 90.00 90.00 90.00
Last column: nearest neighbours and their distance in Å.
Space group Pm-3m (No. 221)
Inequivalent atoms, fractional coordinates:
1 Ti 0.0000 0.0000 0.0000 (multiplicity 1)  6 Nb 2.34
2 Nb 0.0000 0.0000 0.5000 (multiplicity 3)  2 Ti 2.34
3 P 0.5000 0.5000 0.5000 (multiplicity 1)  12 Nb 3.31

## Properties
Its total magnetization is 0.00 μB/cell.


(B)
Below is a geometry-optimized TiNb3P structure, with properties calculated at the PBE-GGA level.

abc: 4.6227 4.6227 4.6227
angles: 90.00 90.00 90.00
Last column: nearest neighbours and their distance in Å.
Space group Pm-3m (No. 221)
Inequivalent atoms, fractional coordinates:
1 Ti 0.0000 0.0000 0.0000 (multiplicity 1)  12 Nb 3.27
2 Nb 0.0000 0.5000 0.5000 (multiplicity 3)  2 P 2.31
3 P 0.5000 0.5000 0.5000 (multiplicity 1)  6 Nb 2.31

## Properties
Its total magnetization is 0.00 μB/cell.


Which structure is the least stable? The one labeled (A).